Record 1
Density functional theory data (PBE) for a geometry-optimized SmAgSn2S4 structure.

Output
ΔE_f (raw) = -0.79 eV per atom
magnetic moment = 0.000 μB per atom
uncorrected energy = -4.802 eV per atom

```
data_SmAgSn2S4
_cell_length_a 6.881
_cell_length_b 4.074
_cell_length_c 7.223
_cell_angle_alpha 90.00
_cell_angle_beta 109.41
_cell_angle_gamma 90.00
_space_group_name_H-M_alt 'P 1 2/m 1'
_space_group_IT_number 10
loop_
_space_group_symop_operation_xyz
'x,y,z'
'-x,-y,-z'
'-x,y,-z'
'x,-y,z'
loop_
_atom_site_label
_atom_site_type_symbol
_atom_site_fract_x
_atom_site_fract_y
_atom_site_fract_z
Sm1 Sm 0.000 0.000 0.000
Ag1 Ag 0.500 0.500 0.000
Sn1 Sn 0.000 0.500 0.500
Sn2 Sn 0.500 0.000 0.500
S1 S 0.240 0.500 0.240
S2 S 0.251 0.000 0.761
```


Record 2
Density functional theory data (PBE) for a geometry-optimized SmAg2SnS4 structure.

Output
N(E_F) = 0.184 states/eV per atom
ΔE_f (raw) = -0.74 eV per atom
magnetic moment = 0.000 μB per atom
uncorrected energy = -4.609 eV per atom

```
data_SmAg2SnS4
_cell_length_a 6.602
_cell_length_b 4.017
_cell_length_c 6.990
_cell_angle_alpha 90.00
_cell_angle_beta 110.74
_cell_angle_gamma 90.00
_space_group_name_H-M_alt 'P 1 2/m 1'
_space_group_IT_number 10
loop_
_space_group_symop_operation_xyz
'x,y,z'
'-x,-y,-z'
'-x,y,-z'
'x,-y,z'
loop_
_atom_site_label
_atom_site_type_symbol
_atom_site_fract_x
_atom_site_fract_y
_atom_site_fract_z
Sm1 Sm 0.000 0.000 0.000
Ag1 Ag 0.500 0.000 0.500
Ag2 Ag 0.500 0.500 0.000
Sn1 Sn 0.000 0.500 0.500
S1 S 0.246 0.500 0.256
S2 S 0.253 0.000 0.748
```


Record 3
Density functional theory data (PBE) for a geometry-optimized Sr4Sm3AgS8 structure.

Output
N(E_F) = 0.275 states/eV per atom
ΔE_f (raw) = -1.87 eV per atom
magnetic moment = 0.000 μB per atom
uncorrected energy = -5.413 eV per atom

```
data_Sr4Sm3AgS8
_cell_length_a 8.2468
_cell_length_b 8.2468
_cell_length_c 20.3618
_cell_angle_alpha 90.00
_cell_angle_beta 90.00
_cell_angle_gamma 120.00
_space_group_name_H-M_alt 'R -3 m'
_space_group_IT_number 166
_space_group_name_Hall '-R 3 2"'
loop_
_atom_site_label
_atom_site_type_symbol
_atom_site_fract_x
_atom_site_fract_y
_atom_site_fract_z
Sr1 Sr 0.0000 0.0000 0.0000
Sr2 Sr 0.0000 0.5000 0.0000
Sm1 Sm 0.0000 0.5000 0.5000
Ag1 Ag 0.0000 0.0000 0.5000
S1 S 0.0000 0.0000 0.2451
S2 S 0.0051 0.5026 0.7549
```


Record 4
Density functional theory data (PBE) for a geometry-optimized SrSm2AgS4 structure.

Output
N(E_F) = 0.194 states/eV per atom
ΔE_f (raw) = -1.68 eV per atom
magnetic moment = 0.000 μB per atom
uncorrected energy = -5.490 eV per atom

```
data_SrSm2AgS4
_cell_length_a 4.041
_cell_length_b 13.554
_cell_length_c 14.055
_cell_angle_alpha 90.00
_cell_angle_beta 90.00
_cell_angle_gamma 90.00
_space_group_name_H-M_alt 'C m c m'
_space_group_IT_number 63
_space_group_name_Hall '-C 2c 2'
loop_
_atom_site_label
_atom_site_type_symbol
_atom_site_fract_x
_atom_site_fract_y
_atom_site_fract_z
Sr1 Sr 0.000 0.125 0.250
Sm1 Sm 0.000 0.374 0.059
Ag1 Ag 0.000 0.148 0.750
S1 S 0.000 0.000 0.000
S2 S 0.000 0.273 0.615
S3 S 0.000 0.462 0.250
```


Record 5
Density functional theory data (PBE) for a geometry-optimized TbSmAg2S4 structure.

Output
N(E_F) = 0.000 states/eV per atom
ΔE_f (raw) = -1.29 eV per atom
magnetic moment = 0.000 μB per atom
uncorrected energy = -5.237 eV per atom

```
data_TbSmAg2S4
_cell_length_a 7.247
_cell_length_b 4.125
_cell_length_c 7.428
_cell_angle_alpha 90.00
_cell_angle_beta 98.14
_cell_angle_gamma 90.00
_space_group_name_H-M_alt 'P 1 2/m 1'
_space_group_IT_number 10
loop_
_space_group_symop_operation_xyz
'x,y,z'
'-x,-y,-z'
'-x,y,-z'
'x,-y,z'
loop_
_atom_site_label
_atom_site_type_symbol
_atom_site_fract_x
_atom_site_fract_y
_atom_site_fract_z
Tb1 Tb 0.000 0.000 0.000
Sm1 Sm 0.500 0.500 0.000
Ag1 Ag 0.000 0.500 0.500
Ag2 Ag 0.500 0.000 0.500
S1 S 0.139 0.500 0.808
S2 S 0.353 0.000 0.194
```


Record 6
Density functional theory data (PBE) for a geometry-optimized SmUAg2S6 structure.

Output
N(E_F) = 0.730 states/eV per atom
ΔE_f (raw) = -0.88 eV per atom
magnetic moment = 0.000 μB per atom
uncorrected energy = -5.524 eV per atom

```
data_SmUAg2S6
_cell_length_a 6.5610
_cell_length_b 6.5610
_cell_length_c 19.0186
_cell_angle_alpha 90.00
_cell_angle_beta 90.00
_cell_angle_gamma 120.00
_space_group_name_H-M_alt 'R 3'
_space_group_IT_number 146
_space_group_name_Hall 'R 3'
loop_
_atom_site_label
_atom_site_type_symbol
_atom_site_fract_x
_atom_site_fract_y
_atom_site_fract_z
Sm1 Sm 0.0000 0.0000 0.0000
U1 U 0.0000 0.0000 0.4953
Ag1 Ag 0.0000 0.0000 0.3139
Ag2 Ag 0.0000 0.0000 0.8223
S1 S 0.0070 0.3231 0.5745
S2 S 0.0126 0.6974 0.4122
```


Record 7
Density functional theory data (PBE) for a geometry-optimized Sm2YAg3S6 structure.

Output
N(E_F) = 0.000 states/eV per atom
ΔE_f (raw) = -1.29 eV per atom
magnetic moment = 0.000 μB per atom
uncorrected energy = -5.388 eV per atom

```
data_Sm2YAg3S6
_cell_length_a 15.573
_cell_length_b 4.120
_cell_length_c 9.466
_cell_angle_alpha 90.00
_cell_angle_beta 103.77
_cell_angle_gamma 90.00
_space_group_name_H-M_alt 'C 1 2/m 1'
_space_group_IT_number 12
loop_
_space_group_symop_operation_xyz
'x,y,z'
'-x,-y,-z'
'-x,y,-z'
'x,-y,z'
'x+1/2,y+1/2,z'
'-x+1/2,-y+1/2,-z'
'-x+1/2,y+1/2,-z'
'x+1/2,-y+1/2,z'
loop_
_atom_site_label
_atom_site_type_symbol
_atom_site_fract_x
_atom_site_fract_y
_atom_site_fract_z
Sm1 Sm 0.161 0.000 0.321
Y1 Y 0.000 0.500 0.000
Ag1 Ag 0.000 0.500 0.500
Ag2 Ag 0.161 0.000 0.737
S1 S 0.017 0.000 0.812
S2 S 0.157 0.500 0.534
S3 S 0.176 0.500 0.136
```


Record 8
Density functional theory data (PBE) for a geometry-optimized SmYAg2S4 structure.

Output
N(E_F) = 0.000 states/eV per atom
ΔE_f (raw) = -1.27 eV per atom
magnetic moment = 0.000 μB per atom
uncorrected energy = -5.444 eV per atom

```
data_SmYAg2S4
_cell_length_a 6.535
_cell_length_b 4.079
_cell_length_c 7.046
_cell_angle_alpha 90.00
_cell_angle_beta 110.29
_cell_angle_gamma 90.00
_space_group_name_H-M_alt 'P 1 2/m 1'
_space_group_IT_number 10
loop_
_space_group_symop_operation_xyz
'x,y,z'
'-x,-y,-z'
'-x,y,-z'
'x,-y,z'
loop_
_atom_site_label
_atom_site_type_symbol
_atom_site_fract_x
_atom_site_fract_y
_atom_site_fract_z
Sm1 Sm 0.000 0.000 0.000
Y1 Y 0.000 0.500 0.500
Ag1 Ag 0.500 0.000 0.500
Ag2 Ag 0.500 0.500 0.000
S1 S 0.243 0.000 0.741
S2 S 0.244 0.500 0.250
```


Repeat the third record exactly.
Density functional theory data (PBE) for a geometry-optimized Sr4Sm3AgS8 structure.

Output
N(E_F) = 0.275 states/eV per atom
ΔE_f (raw) = -1.87 eV per atom
magnetic moment = 0.000 μB per atom
uncorrected energy = -5.413 eV per atom

```
data_Sr4Sm3AgS8
_cell_length_a 8.2468
_cell_length_b 8.2468
_cell_length_c 20.3618
_cell_angle_alpha 90.00
_cell_angle_beta 90.00
_cell_angle_gamma 120.00
_space_group_name_H-M_alt 'R -3 m'
_space_group_IT_number 166
_space_group_name_Hall '-R 3 2"'
loop_
_atom_site_label
_atom_site_type_symbol
_atom_site_fract_x
_atom_site_fract_y
_atom_site_fract_z
Sr1 Sr 0.0000 0.0000 0.0000
Sr2 Sr 0.0000 0.5000 0.0000
Sm1 Sm 0.0000 0.5000 0.5000
Ag1 Ag 0.0000 0.0000 0.5000
S1 S 0.0000 0.0000 0.2451
S2 S 0.0051 0.5026 0.7549
```